[1]
A geometry-optimized Dy3YTl structure. Source: Alexandria via LeMat-Bulk, functional PBE.

## Properties
**Calculated total energy**: -4.654 eV per atom
**Formation enthalpy at 0 K**: -0.13 eV/atom
**Offset from the most stable computed form**: 0.000 eV/atom
**M_tot**: 0.000 μB per atom
**Space-group type**: No. 63

a = 12.972 Å, b = 12.972 Å, c = 4.788 Å
α = 90.00°, β = 90.00°, γ = 158.63°
Positions (direct):
Dy: 0.048 0.952 0.750
Dy: 0.251 0.749 0.750
Dy: 0.448 0.552 0.750
Dy: 0.552 0.448 0.250
Dy: 0.749 0.251 0.250
Dy: 0.952 0.048 0.250
Y: 0.149 0.851 0.250
Y: 0.851 0.149 0.750
Tl: 0.348 0.652 0.250
Tl: 0.652 0.348 0.750



[2]
A geometry-optimized Dy2YTl2 structure. Source: Alexandria via LeMat-Bulk, functional PBE.

## Properties
**Calculated total energy**: -4.372 eV per atom
**Formation enthalpy at 0 K**: -0.29 eV/atom
**Offset from the most stable computed form**: 0.000 eV/atom
**M_tot**: 0.000 μB per atom
**Space-group type**: No. 11

a = 3.766 Å, b = 5.372 Å, c = 14.146 Å
α = 90.00°, β = 97.67°, γ = 90.00°
Positions (direct):
Dy: 0.049 0.250 0.098
Dy: 0.238 0.250 0.475
Dy: 0.762 0.750 0.525
Dy: 0.951 0.750 0.902
Y: 0.148 0.750 0.298
Y: 0.852 0.250 0.702
Tl: 0.356 0.750 0.710
Tl: 0.451 0.250 0.902
Tl: 0.549 0.750 0.098
Tl: 0.644 0.250 0.290



[3]
A geometry-optimized DyYTl3 structure. Source: Alexandria via LeMat-Bulk, functional PBE.

## Properties
**Calculated total energy**: -3.662 eV per atom
**Formation enthalpy at 0 K**: -0.03 eV/atom
**M_tot**: 0.000 μB per atom
**Space-group type**: No. 63

a = 7.420 Å, b = 7.420 Å, c = 6.404 Å
α = 90.00°, β = 90.00°, γ = 119.95°
Positions (direct):
Dy: 0.000 0.000 0.000
Dy: 0.000 0.000 0.500
Y: 0.334 0.666 0.750
Y: 0.666 0.334 0.250
Tl: 0.200 0.400 0.250
Tl: 0.200 0.800 0.250
Tl: 0.400 0.200 0.750
Tl: 0.600 0.800 0.250
Tl: 0.800 0.200 0.750
Tl: 0.800 0.600 0.750



[4]
A geometry-optimized Dy3Y2Tl2 structure. Source: Alexandria via LeMat-Bulk, functional PBE.

## Properties
**Calculated total energy**: -4.708 eV per atom
**Formation enthalpy at 0 K**: -0.21 eV/atom
**Offset from the most stable computed form**: 0.000 eV/atom
**M_tot**: 0.000 μB per atom
**Space-group type**: No. 12

a = 5.405 Å, b = 5.405 Å, c = 8.637 Å
α = 108.27°, β = 108.27°, γ = 60.04°
Positions (direct):
Dy: 0.000 0.000 0.000
Dy: 0.154 0.154 0.463
Dy: 0.846 0.846 0.537
Y: 0.425 0.425 0.275
Y: 0.575 0.575 0.725
Tl: 0.284 0.284 0.851
Tl: 0.716 0.716 0.149



[5]
A geometry-optimized DyYTl structure. Source: Alexandria via LeMat-Bulk, functional PBE.

## Properties
**Calculated total energy**: -4.627 eV per atom
**Formation enthalpy at 0 K**: -0.15 eV/atom
**Offset from the most stable computed form**: 0.129 eV/atom
**M_tot**: 0.000 μB per atom
**Space-group type**: No. 156

a = 5.258 Å, b = 5.258 Å, c = 3.696 Å
α = 90.00°, β = 90.00°, γ = 120.00°
Positions (direct):
Dy: 0.000 0.000 0.000
Y: 0.333 0.667 0.463
Tl: 0.667 0.333 0.766



[6]
A geometry-optimized Dy3Y2Tl3 structure. Source: Alexandria via LeMat-Bulk, functional PBE.

## Properties
**Calculated total energy**: -4.476 eV per atom
**Formation enthalpy at 0 K**: -0.25 eV/atom
**M_tot**: 0.202 μB per atom
**Space-group type**: No. 47

a = 4.972 Å, b = 4.984 Å, c = 9.088 Å
α = 90.00°, β = 90.00°, γ = 90.00°
Positions (direct):
Dy: 0.000 0.000 0.000
Dy: 0.500 0.000 0.263
Dy: 0.500 0.000 0.737
Y: 0.000 0.500 0.264
Y: 0.000 0.500 0.736
Tl: 0.000 0.000 0.500
Tl: 0.500 0.500 0.000
Tl: 0.500 0.500 0.500



[7]
A geometry-optimized Dy2Y3Tl2 structure. Source: Alexandria via LeMat-Bulk, functional PBE.

## Properties
**Calculated total energy**: -4.970 eV per atom
**Formation enthalpy at 0 K**: -0.21 eV/atom
**M_tot**: 0.000 μB per atom
**Space-group type**: No. 12

a = 5.412 Å, b = 5.412 Å, c = 8.641 Å
α = 108.28°, β = 108.28°, γ = 60.03°
Positions (direct):
Dy: 0.075 0.075 0.225
Dy: 0.925 0.925 0.775
Y: 0.346 0.346 0.039
Y: 0.500 0.500 0.500
Y: 0.654 0.654 0.961
Tl: 0.217 0.217 0.651
Tl: 0.783 0.783 0.349



[8]
A geometry-optimized Dy5YTl4 structure. Source: Alexandria via LeMat-Bulk, functional PBE.

## Properties
**Calculated total energy**: -4.169 eV per atom
**Formation enthalpy at 0 K**: -0.28 eV/atom
**Offset from the most stable computed form**: 0.000 eV/atom
**M_tot**: 0.009 μB per atom
**Space-group type**: No. 123

a = 3.627 Å, b = 3.627 Å, c = 21.600 Å
α = 90.00°, β = 90.00°, γ = 90.00°
Positions (direct):
Dy: 0.000 0.000 0.000
Dy: 0.000 0.000 0.193
Dy: 0.000 0.000 0.385
Dy: 0.000 0.000 0.615
Dy: 0.000 0.000 0.807
Y: 0.500 0.500 0.500
Tl: 0.500 0.500 0.096
Tl: 0.500 0.500 0.289
Tl: 0.500 0.500 0.711
Tl: 0.500 0.500 0.904



[9]
A geometry-optimized Dy2YTl structure. Source: Alexandria via LeMat-Bulk, functional PBE.

## Properties
**Calculated total energy**: -4.673 eV per atom
**Formation enthalpy at 0 K**: -0.16 eV/atom
**Offset from the most stable computed form**: 0.033 eV/atom
**M_tot**: 0.000 μB per atom
**Space-group type**: No. 123

a = 3.625 Å, b = 3.625 Å, c = 9.157 Å
α = 90.00°, β = 90.00°, γ = 90.00°
Positions (direct):
Dy: 0.000 0.000 0.228
Dy: 0.000 0.000 0.772
Y: 0.500 0.500 0.500
Tl: 0.500 0.500 0.000



[10]
A geometry-optimized Dy4Y9Tl11 structure. Source: Alexandria via LeMat-Bulk, functional PBE.

## Properties
**Calculated total energy**: -4.564 eV per atom
**Formation enthalpy at 0 K**: -0.29 eV/atom
**M_tot**: 0.000 μB per atom
**Space-group type**: No. 65

a = 14.040 Å, b = 14.040 Å, c = 3.590 Å
α = 90.00°, β = 90.00°, γ = 109.31°
Positions (direct):
Dy: 0.084 0.248 0.000
Dy: 0.248 0.084 0.000
Dy: 0.752 0.916 0.000
Dy: 0.916 0.752 0.000
Y: 0.000 0.000 0.000
Y: 0.115 0.657 0.000
Y: 0.296 0.482 0.000
Y: 0.343 0.885 0.000
Y: 0.482 0.296 0.000
Y: 0.518 0.704 0.000
Y: 0.657 0.115 0.000
Y: 0.704 0.518 0.000
Y: 0.885 0.343 0.000
Tl: 0.089 0.448 0.500
Tl: 0.124 0.876 0.500
Tl: 0.285 0.285 0.500
Tl: 0.314 0.686 0.500
Tl: 0.448 0.089 0.500
Tl: 0.500 0.500 0.500
Tl: 0.552 0.911 0.500
Tl: 0.686 0.314 0.500
Tl: 0.715 0.715 0.500
Tl: 0.876 0.124 0.500
Tl: 0.911 0.552 0.500



[11]
A geometry-optimized Dy2YTl structure. Source: Alexandria via LeMat-Bulk, functional PBE.

## Properties
**Calculated total energy**: -4.542 eV per atom
**Formation enthalpy at 0 K**: -0.03 eV/atom
**Offset from the most stable computed form**: 0.164 eV/atom
**M_tot**: 0.388 μB per atom
**Space-group type**: No. 216

a = 5.470 Å, b = 5.470 Å, c = 5.470 Å
α = 60.00°, β = 60.00°, γ = 60.00°
Positions (direct):
Dy: 0.000 0.000 0.000
Dy: 0.250 0.250 0.250
Y: 0.500 0.500 0.500
Tl: 0.750 0.750 0.750



[12]
A geometry-optimized Dy6YTl structure. Source: Alexandria via LeMat-Bulk, functional PBE.

## Properties
**Calculated total energy**: -4.629 eV per atom
**Formation enthalpy at 0 K**: -0.07 eV/atom
**Offset from the most stable computed form**: 0.000 eV/atom
**M_tot**: 0.000 μB per atom
**Space-group type**: No. 123

a = 4.898 Å, b = 4.898 Å, c = 10.069 Å
α = 90.00°, β = 90.00°, γ = 90.00°
Positions (direct):
Dy: 0.000 0.000 0.000
Dy: 0.000 0.000 0.500
Dy: 0.000 0.500 0.245
Dy: 0.000 0.500 0.755
Dy: 0.500 0.000 0.245
Dy: 0.500 0.000 0.755
Y: 0.500 0.500 0.500
Tl: 0.500 0.500 0.000